(1)
Crystalline CrHg2Os at its relaxed geometry, computed with GGA-PBE.

Properties
Energy relative to the lowest polymorph listed for this composition, meV per atom: 403
Density of states at the Fermi level, states/eV/atom: 1.24
Calculated volume, Å³ per cell: 70.1
Formation enthalpy at 0 K, meV/atom: 772
E_tot, eV/atom: -4.59

extended XYZ file:
```
4
Lattice="4.1314 0.0000 0.0000 0.0000 4.1314 0.0000 0.0000 0.0000 4.1045" Properties=species:S:1:pos:R:3 pbc="T T T"
Cr 0.0000 0.0000 0.0000
Hg 0.0000 2.0657 2.0522
Hg 2.0657 0.0000 2.0522
Os 2.0657 2.0657 0.0000
```

=====

(2)
Crystalline Ag2HgCl at its relaxed geometry, computed with GGA-PBE.

Properties
Energy relative to the lowest polymorph listed for this composition, meV per atom: 68
Uncorrected formation energy, eV per atom: -0.0807
Density of states at the Fermi level, states/eV/atom: 0.25
Calculated volume, Å³ per cell: 90.6
E_tot, eV/atom: -2.04

extended XYZ file:
```
4
Lattice="-1.6429 2.2771 6.0550 1.6429 -2.2771 6.0550 1.6429 2.2771 -6.0550" Properties=species:S:1:pos:R:3 pbc="T T T"
Ag 0.0000 0.0000 0.0000
Ag 0.0000 2.2771 3.6170
Hg 1.6429 0.0000 4.2000
Cl 0.0000 0.0000 7.3071
```

=====

(3)
Crystalline Ba7Ag4O at its relaxed geometry, computed with GGA-PBE.

Properties
Uncorrected formation energy, eV per atom: -0.4788
Density of states at the Fermi level, states/eV/atom: 0.76
Calculated volume, Å³ per cell: 486.4
E_tot, eV/atom: -2.96

extended XYZ file:
```
12
Lattice="9.0594 -2.8042 0.0000 9.0594 2.8042 0.0000 -8.1785 0.0000 9.5732" Properties=species:S:1:pos:R:3 pbc="T T T"
Ba 0.0000 0.0000 0.0000
Ba -2.0577 0.0000 5.2543
Ba 3.9389 0.0000 1.4302
Ba 1.7598 0.0000 7.2468
Ba 8.1805 0.0000 2.3264
Ba 6.0014 0.0000 8.1430
Ba 11.9980 0.0000 4.3189
Ag -4.9749 0.0000 7.5618
Ag 1.0347 0.0000 3.5317
Ag 8.9055 0.0000 6.0415
Ag 14.9152 0.0000 2.0114
O 9.0594 0.0000 0.0000
```

=====

(4)
Crystalline GdErScPa at its relaxed geometry, computed with GGA-PBE.

Properties
Density of states at the Fermi level, states/eV/atom: 1.97
Calculated volume, Å³ per cell: 112.4
Formation enthalpy at 0 K, meV/atom: 288
E_tot, eV/atom: -8.33

extended XYZ file:
```
4
Lattice="0.0000 3.8308 3.8308 3.8308 0.0000 3.8308 3.8308 3.8308 0.0000" Properties=species:S:1:pos:R:3 pbc="T T T"
Gd 0.0000 0.0000 0.0000
Er 5.7462 5.7462 5.7462
Sc 1.9154 1.9154 1.9154
Pa 3.8308 3.8308 3.8308
```

=====

(5)
Crystalline KNaI2N at its relaxed geometry, computed with GGA-PBE.

Properties
Energy relative to the lowest polymorph listed for this composition, meV per atom: 221
Uncorrected formation energy, eV per atom: 0.2089
Density of states at the Fermi level, states/eV/atom: 0.32
Calculated volume, Å³ per cell: 231.5
E_tot, eV/atom: -2.56

extended XYZ file:
```
5
Lattice="6.5917 0.0000 0.0000 0.0000 6.5917 0.0000 0.0000 0.0000 5.3288" Properties=species:S:1:pos:R:3 pbc="T T T"
K 0.0000 0.0000 0.0000
Na 3.2959 3.2959 2.6644
I 0.0000 3.2959 0.0000
I 3.2959 0.0000 0.0000
N 0.0000 0.0000 2.6644
```

=====

(6)
Crystalline PrPuGa at its relaxed geometry, computed with GGA-PBE.

Properties
Energy relative to the lowest polymorph listed for this composition, meV per atom: 81
Density of states at the Fermi level, states/eV/atom: 2.10
Calculated volume, Å³ per cell: 78.8
Formation enthalpy at 0 K, meV/atom: -112
E_tot, eV/atom: -7.49

extended XYZ file:
```
3
Lattice="5.0911 0.0000 0.0000 -2.5456 4.4090 0.0000 0.0000 0.0000 3.5099" Properties=species:S:1:pos:R:3 pbc="T T T"
Pr 0.0000 0.0000 0.0000
Pu 2.5456 1.4697 1.4288
Ga 0.0000 2.9394 2.3097
```

=====

(7)
Crystalline Ac2TlPb at its relaxed geometry, computed with GGA-PBE.

Properties
Density of states at the Fermi level, states/eV/atom: 1.15
Calculated volume, Å³ per cell: 165.8
Formation enthalpy at 0 K, meV/atom: -250
E_tot, eV/atom: -3.82

extended XYZ file:
```
4
Lattice="2.4695 1.4258 7.8502 -2.4695 1.4258 7.8502 0.0000 -2.8515 7.8502" Properties=species:S:1:pos:R:3 pbc="T T T"
Ac 0.0000 0.0000 0.0000
Ac 0.0000 0.0000 4.1996
Tl 0.0000 0.0000 9.9482
Pb 0.0000 0.0000 13.8161
```

=====

(8)
Crystalline CaAgPt4 at its relaxed geometry, computed with GGA-PBE.

Properties
Density of states at the Fermi level, states/eV/atom: 0.49
Calculated volume, Å³ per cell: 109.5
Formation enthalpy at 0 K, meV/atom: -540
E_tot, eV/atom: -5.38

extended XYZ file:
```
6
Lattice="0.0000 3.7975 3.7975 3.7975 0.0000 3.7975 3.7975 3.7975 0.0000" Properties=species:S:1:pos:R:3 pbc="T T T"
Ca 0.0000 0.0000 0.0000
Ag 1.8987 1.8987 1.8987
Pt 4.7457 2.8493 2.8493
Pt 2.8493 4.7457 2.8493
Pt 2.8493 2.8493 4.7457
Pt 4.7457 4.7457 4.7457
```

=====

(9)
Crystalline BeSiTc at its relaxed geometry, computed with GGA-PBE.

Properties
Energy relative to the lowest polymorph listed for this composition, meV per atom: 2
Uncorrected formation energy, eV per atom: -0.3054
Density of states at the Fermi level, states/eV/atom: 1.14
Calculated volume, Å³ per cell: 71.5
E_tot, eV/atom: -6.81

extended XYZ file:
```
6
Lattice="2.0880 -3.8737 0.0000 2.0880 3.8737 0.0000 0.0000 0.0000 4.4174" Properties=species:S:1:pos:R:3 pbc="T T T"
Be 2.0880 3.2633 2.2087
Be 2.0880 -3.2633 0.0000
Si 2.0880 0.7002 2.2027
Si 2.0880 -0.7002 4.4114
Tc 2.0880 1.8932 4.4120
Tc 2.0880 -1.8932 2.2033
```

=====

| no. | ρ (g/cm³) |
| --- | --- |
| 1 | 15.25 |
| 2 | 8.28 |
| 3 | 4.81 |
| 4 | 8.87 |
| 5 | 2.37 |
| 6 | 9.58 |
| 7 | 8.67 |
| 8 | 14.07 |
| 9 | 6.28 |